This record from Alexandria via LeMat-Bulk describes an optimized crystal structure of Tb2Fe17H3. The functional is PBE.

**Crystal system**: hexagonal
**Space group**: P6_3/mmc
**DFT total energy**: -7.48 eV/atom

Cell lengths 8.5467, 8.5467, 8.1891 Å; angles 90.00, 90.00, 120.00 degrees
Last column: nearest neighbours and their distance in Å.
Sites, in units of the cell vectors:
Fe1 0.8332 0.1668 0.5155  1 H 1.92
Fe2 0.0000 0.5000 0.5000  10 Fe 2.43-2.61
Fe3 0.6710 0.0484 0.2500  1 H 1.82
Fe4 0.3336 0.1668 0.9845  1 H 1.92
Fe5 0.3333 0.6667 0.6058  4 Fe 2.36-2.61
Fe6 0.6710 0.6226 0.2500  1 H 1.82
Fe7 0.0000 0.5000 0.0000  10 Fe 2.43-2.61
Fe8 0.3290 0.9516 0.7500  1 H 1.82
Fe9 0.9516 0.3290 0.2500  1 H 1.82
Fe10 0.3333 0.6667 0.8942  4 Fe 2.36-2.61
Fe11 0.5000 0.5000 0.0000  10 Fe 2.43-2.61
Fe12 0.6226 0.6710 0.7500  1 H 1.82
Fe13 0.1668 0.3336 0.4845  1 H 1.92
Fe14 0.6664 0.8332 0.4845  1 H 1.92
Fe15 0.1668 0.3336 0.0155  1 H 1.92
Fe16 0.3290 0.3774 0.7500  1 H 1.82
Fe17 0.1668 0.8332 0.0155  1 H 1.92
Fe18 0.0484 0.6710 0.7500  1 H 1.82
Fe19 0.6664 0.8332 0.0155  1 H 1.92
Fe20 0.5000 0.0000 0.5000  10 Fe 2.43-2.61
Fe21 0.8332 0.1668 0.9845  1 H 1.92
Fe22 0.3774 0.0484 0.2500  1 H 1.82
Fe23 0.5000 0.0000 0.0000  10 Fe 2.43-2.61
Fe24 0.5000 0.5000 0.5000  10 Fe 2.43-2.61
Fe25 0.3336 0.1668 0.5155  1 H 1.92
Fe26 0.3774 0.3290 0.2500  1 H 1.82
Fe27 0.9516 0.6226 0.2500  1 H 1.82
Fe28 0.6667 0.3333 0.1058  4 Fe 2.36-2.61
Fe29 0.8332 0.6664 0.9845  1 H 1.92
Fe30 0.8332 0.6664 0.5155  1 H 1.92
Fe31 0.6226 0.9516 0.7500  1 H 1.82
Fe32 0.6667 0.3333 0.3942  4 Fe 2.36-2.61
Fe33 0.0484 0.3774 0.7500  1 H 1.82
Fe34 0.1668 0.8332 0.4845  1 H 1.92
H1 0.8350 0.1650 0.7500  4 Fe 1.82-1.92
H2 0.1650 0.8350 0.2500  4 Fe 1.82-1.92
H3 0.3299 0.1650 0.7500  4 Fe 1.82-1.92
H4 0.6701 0.8350 0.2500  4 Fe 1.82-1.92
H5 0.8350 0.6701 0.7500  4 Fe 1.82-1.92
H6 0.1650 0.3299 0.2500  4 Fe 1.82-1.92
Tb1 0.6667 0.3333 0.7500  3 H 2.49
Tb2 0.0000 0.0000 0.7500  3 H 2.44
Tb3 0.3333 0.6667 0.2500  3 H 2.49
Tb4 0.0000 0.0000 0.2500  3 H 2.44